(1)
This record from Alexandria via LeMat-Bulk describes an optimized crystal structure of TcCI2N. The functional is PBEsol.

Calculated values
N(E_F) = 3.4 states/eV/cell
Formation energy from raw total energies = 2.1004 eV per atom

a b c (Å): 5.084 5.084 3.891
angles (deg): 90.00 90.00 90.00
Fractional coordinates of all 5 atoms:
Tc (0.000, 0.000, 0.000)
C (0.000, 0.000, 0.500)
I (0.000, 0.500, 0.500)
I (0.500, 0.000, 0.500)
N (0.500, 0.500, 0.000)



(2)
This record from Alexandria via LeMat-Bulk describes an optimized crystal structure of WCIN2. The functional is PBEsol.

Calculated values
N(E_F) = 3.0 states/eV/cell
Formation energy from raw total energies = 1.5573 eV per atom

a b c (Å): 3.829 3.829 5.743
angles (deg): 90.00 90.00 90.00
Fractional coordinates of all 5 atoms:
W (0.000, 0.000, 0.000)
C (0.500, 0.500, 0.500)
I (0.000, 0.000, 0.500)
N (0.000, 0.500, 0.000)
N (0.500, 0.000, 0.000)



(3)
This record from Alexandria via LeMat-Bulk describes an optimized crystal structure of Na2CI. The functional is PBEsol.

Calculated values
N(E_F) = 0.0 states/eV/cell
Formation energy from raw total energies = 0.7734 eV per atom

a b c (Å): 5.173 5.173 5.173
angles (deg): 60.00 60.00 60.00
Fractional coordinates of all 4 atoms:
Na (0.250, 0.250, 0.250)
Na (0.750, 0.750, 0.750)
C (0.000, 0.000, 0.000)
I (0.500, 0.500, 0.500)



(4)
This record from Alexandria via LeMat-Bulk describes an optimized crystal structure of NaC2IO. The functional is PBEsol.

Calculated values
N(E_F) = 4.4 states/eV/cell
Formation energy from raw total energies = 2.6911 eV per atom

a b c (Å): 4.432 4.432 3.986
angles (deg): 90.00 90.00 90.00
Fractional coordinates of all 5 atoms:
Na (0.000, 0.000, 0.000)
C (0.000, 0.500, 0.000)
C (0.500, 0.000, 0.000)
I (0.500, 0.500, 0.500)
O (0.000, 0.000, 0.500)



(5)
This record from Alexandria via LeMat-Bulk describes an optimized crystal structure of NaTeCI2. The functional is PBEsol.

Calculated values
N(E_F) = 9.3 states/eV/cell
Formation energy from raw total energies = 1.6927 eV per atom

a b c (Å): 5.664 5.664 5.789
angles (deg): 90.00 90.00 90.00
Fractional coordinates of all 5 atoms:
Na (0.000, 0.000, 0.000)
Te (0.000, 0.000, 0.500)
C (0.500, 0.500, 0.500)
I (0.000, 0.500, 0.000)
I (0.500, 0.000, 0.000)



(6)
This record from Alexandria via LeMat-Bulk describes an optimized crystal structure of NbC3I. The functional is PBEsol.

Calculated values
N(E_F) = 3.7 states/eV/cell
Formation energy from raw total energies = 3.0508 eV per atom

a b c (Å): 4.018 4.018 4.018
angles (deg): 90.00 90.00 90.00
Fractional coordinates of all 5 atoms:
Nb (0.000, 0.000, 0.000)
C (0.000, 0.500, 0.500)
C (0.500, 0.000, 0.500)
C (0.500, 0.500, 0.000)
I (0.500, 0.500, 0.500)



(7)
This record from Alexandria via LeMat-Bulk describes an optimized crystal structure of NbPb2CI. The functional is PBEsol.

Calculated values
N(E_F) = 6.4 states/eV/cell
Formation energy from raw total energies = 2.1619 eV per atom

a b c (Å): 5.874 5.874 4.046
angles (deg): 90.00 90.00 90.00
Fractional coordinates of all 5 atoms:
Nb (0.000, 0.000, 0.000)
Pb (0.000, 0.500, 0.500)
Pb (0.500, 0.000, 0.500)
C (0.500, 0.500, 0.000)
I (0.500, 0.500, 0.500)



(8)
This record from Alexandria via LeMat-Bulk describes an optimized crystal structure of NbSb2CI. The functional is PBEsol.

Calculated values
N(E_F) = 5.3 states/eV/cell
Formation energy from raw total energies = 1.7107 eV per atom

a b c (Å): 5.310 5.310 5.351
angles (deg): 90.00 90.00 90.00
Fractional coordinates of all 5 atoms:
Nb (0.000, 0.000, 0.000)
Sb (0.000, 0.500, 0.000)
Sb (0.500, 0.000, 0.000)
C (0.500, 0.500, 0.500)
I (0.000, 0.000, 0.500)



(9)
This record from Alexandria via LeMat-Bulk describes an optimized crystal structure of YNbCI2. The functional is PBEsol.

Calculated values
N(E_F) = 3.8 states/eV/cell
Formation energy from raw total energies = 1.5371 eV per atom

a b c (Å): 5.273 5.273 5.709
angles (deg): 90.00 90.00 90.00
Fractional coordinates of all 5 atoms:
Y (0.000, 0.000, 0.000)
Nb (0.000, 0.000, 0.500)
C (0.500, 0.500, 0.000)
I (0.000, 0.500, 0.500)
I (0.500, 0.000, 0.500)



(10)
This record from Alexandria via LeMat-Bulk describes an optimized crystal structure of NiTeCI2. The functional is PBEsol.

Calculated values
N(E_F) = 5.7 states/eV/cell
Formation energy from raw total energies = 1.5967 eV per atom

a b c (Å): 5.106 5.106 4.936
angles (deg): 90.00 90.00 90.00
Fractional coordinates of all 5 atoms:
Ni (0.000, 0.000, 0.000)
Te (0.000, 0.000, 0.500)
C (0.500, 0.500, 0.500)
I (0.000, 0.500, 0.000)
I (0.500, 0.000, 0.000)



(11)
This record from Alexandria via LeMat-Bulk describes an optimized crystal structure of NiTeCI2. The functional is PBEsol.

Calculated values
N(E_F) = 6.9 states/eV/cell
Formation energy from raw total energies = 1.4674 eV per atom

a b c (Å): 4.734 4.734 4.838
angles (deg): 90.00 90.00 90.00
Fractional coordinates of all 5 atoms:
Ni (0.000, 0.000, 0.000)
Te (0.500, 0.500, 0.000)
C (0.500, 0.500, 0.500)
I (0.000, 0.500, 0.500)
I (0.500, 0.000, 0.500)



(12)
This record from Alexandria via LeMat-Bulk describes an optimized crystal structure of OsC3I2O3. The functional is PBEsol.

Calculated values
N(E_F) = 0.0 states/eV/cell
Formation energy from raw total energies = -0.5371 eV per atom

a b c (Å): 6.791 6.791 10.174
angles (deg): 103.14 103.14 72.51
Fractional coordinates of all 18 atoms:
Os (0.065, 0.065, 0.210)
Os (0.935, 0.935, 0.790)
C (0.078, 0.737, 0.657)
C (0.236, 0.236, 0.201)
C (0.263, 0.922, 0.343)
C (0.737, 0.078, 0.657)
C (0.764, 0.764, 0.799)
C (0.922, 0.263, 0.343)
I (0.183, 0.183, 0.779)
I (0.231, 0.769, 0.000)
I (0.769, 0.231, 0.000)
I (0.817, 0.817, 0.221)
O (0.168, 0.617, 0.577)
O (0.341, 0.341, 0.202)
O (0.383, 0.832, 0.423)
O (0.617, 0.168, 0.577)
O (0.659, 0.659, 0.798)
O (0.832, 0.383, 0.423)



(13)
This record from Alexandria via LeMat-Bulk describes an optimized crystal structure of PtCI2O. The functional is PBEsol.

Calculated values
Formation energy from raw total energies = -0.3182 eV per atom

a b c (Å): 7.084 7.084 12.960
angles (deg): 107.46 107.46 77.11
Fractional coordinates of all 20 atoms:
Pt (0.090, 0.256, 0.083)
Pt (0.256, 0.090, 0.583)
Pt (0.744, 0.910, 0.417)
Pt (0.910, 0.744, 0.917)
C (0.275, 0.407, 0.089)
C (0.407, 0.275, 0.589)
C (0.593, 0.725, 0.411)
C (0.725, 0.593, 0.911)
I (0.044, 0.451, 0.765)
I (0.048, 0.823, 0.580)
I (0.177, 0.952, 0.920)
I (0.451, 0.044, 0.265)
I (0.549, 0.956, 0.735)
I (0.823, 0.048, 0.080)
I (0.952, 0.177, 0.420)
I (0.956, 0.549, 0.235)
O (0.393, 0.502, 0.095)
O (0.498, 0.607, 0.405)
O (0.502, 0.393, 0.595)
O (0.607, 0.498, 0.905)



(14)
This record from Alexandria via LeMat-Bulk describes an optimized crystal structure of RbCIO2. The functional is PBEsol.

Calculated values
N(E_F) = 3.9 states/eV/cell
Formation energy from raw total energies = 1.0062 eV per atom

a b c (Å): 4.403 4.403 4.393
angles (deg): 90.00 90.00 90.00
Fractional coordinates of all 5 atoms:
Rb (0.000, 0.000, 0.000)
C (0.500, 0.500, 0.500)
I (0.500, 0.500, 0.000)
O (0.000, 0.500, 0.500)
O (0.500, 0.000, 0.500)



(15)
This record from Alexandria via LeMat-Bulk describes an optimized crystal structure of SrCIO2. The functional is PBEsol.

Calculated values
N(E_F) = 3.7 states/eV/cell
Formation energy from raw total energies = 0.2872 eV per atom

a b c (Å): 4.272 4.272 4.260
angles (deg): 90.00 90.00 90.00
Fractional coordinates of all 5 atoms:
Sr (0.000, 0.000, 0.000)
C (0.500, 0.500, 0.500)
I (0.500, 0.500, 0.000)
O (0.000, 0.500, 0.500)
O (0.500, 0.000, 0.500)



(16)
This record from Alexandria via LeMat-Bulk describes an optimized crystal structure of ZrCIO2. The functional is PBEsol.

Calculated values
N(E_F) = 2.1 states/eV/cell
Formation energy from raw total energies = -0.3337 eV per atom

a b c (Å): 3.956 3.956 6.274
angles (deg): 90.00 90.00 90.00
Fractional coordinates of all 5 atoms:
Zr (0.000, 0.000, 0.000)
C (0.500, 0.500, 0.500)
I (0.000, 0.000, 0.500)
O (0.000, 0.500, 0.000)
O (0.500, 0.000, 0.000)



(17)
This record from Alexandria via LeMat-Bulk describes an optimized crystal structure of ZrCIO2. The functional is PBEsol.

Calculated values
N(E_F) = 2.2 states/eV/cell
Formation energy from raw total energies = 0.6295 eV per atom

a b c (Å): 3.991 3.991 4.195
angles (deg): 90.00 90.00 90.00
Fractional coordinates of all 5 atoms:
Zr (0.000, 0.000, 0.000)
C (0.500, 0.500, 0.500)
I (0.500, 0.500, 0.000)
O (0.000, 0.500, 0.500)
O (0.500, 0.000, 0.500)



(18)
This record from Alexandria via LeMat-Bulk describes an optimized crystal structure of Re2PbCI. The functional is PBEsol.

Calculated values
N(E_F) = 4.3 states/eV/cell
Formation energy from raw total energies = 3.7808 eV per atom

a b c (Å): 4.810 4.810 5.928
angles (deg): 90.00 90.00 90.00
Fractional coordinates of all 5 atoms:
Re (0.000, 0.500, 0.000)
Re (0.500, 0.000, 0.000)
Pb (0.000, 0.000, 0.500)
C (0.500, 0.500, 0.500)
I (0.000, 0.000, 0.000)



(19)
This record from Alexandria via LeMat-Bulk describes an optimized crystal structure of TePbCI2. The functional is PBEsol.

Calculated values
N(E_F) = 8.3 states/eV/cell
Formation energy from raw total energies = 1.6980 eV per atom

a b c (Å): 6.030 6.030 5.908
angles (deg): 90.00 90.00 90.00
Fractional coordinates of all 5 atoms:
Te (0.000, 0.000, 0.000)
Pb (0.000, 0.000, 0.500)
C (0.500, 0.500, 0.000)
I (0.000, 0.500, 0.500)
I (0.500, 0.000, 0.500)



(20)
This record from Alexandria via LeMat-Bulk describes an optimized crystal structure of PdCI3. The functional is PBEsol.

Calculated values
N(E_F) = 7.7 states/eV/cell
Formation energy from raw total energies = 1.3086 eV per atom

a b c (Å): 4.880 4.880 4.880
angles (deg): 90.00 90.00 90.00
Fractional coordinates of all 5 atoms:
Pd (0.000, 0.000, 0.000)
C (0.500, 0.500, 0.500)
I (0.000, 0.500, 0.500)
I (0.500, 0.000, 0.500)
I (0.500, 0.500, 0.000)